This record from Alexandria describes a relaxed structure of Hf3CCl. The functional is PBEsol.

Cell lengths 4.4804, 4.4804, 4.4804 Å; angles 90.00, 90.00, 90.00 degrees
Fractional coordinates of all 5 atoms:
Hf: 0.0000 0.0000 0.5000
Hf: 0.0000 0.5000 0.0000
Hf: 0.5000 0.0000 0.0000
C: 0.0000 0.0000 0.0000
Cl: 0.5000 0.5000 0.5000

Summary:
The calculation puts the total magnetization at 0.00 μB/atom. As for the raw total energy: -8.523 eV per atom. Its space group is No. 221. The uncorrected formation energy is 109.3 meV/atom.